# Al2CuOsCl

Crystalline Al2CuOsCl at its relaxed geometry (GGA-PBEsol, the Alexandria database).

The structure in POSCAR format:
```
Al2CuOsCl
1.0
4.5366 0.0000 0.0000
0.0000 4.5366 0.0000
0.0000 0.0000 4.3222
Al Cu Os Cl
2 1 1 1
Cartesian
0.0000 2.2683 0.0000 Al
2.2683 0.0000 0.0000 Al
0.0000 0.0000 2.1611 Cu
2.2683 2.2683 2.1611 Os
2.2683 2.2683 0.0000 Cl
```

E_form (uncorrected): 1.40 eV per atom
SG: P4/mmm, No. 123